Entry 1:
This record from OQMD describes an optimized crystal structure of CuNiGePd. The functional is GGA-PBE.

```
CuNiGePd
1.0
1.088 -4.073 0.235
0.988 -1.709 3.732
-2.612 -2.782 1.806
Cu Ge Ni Pd
1 1 1 1
direct
0.750 0.750 0.750 Cu
0.000 0.000 0.000 Ge
0.500 0.500 0.500 Ni
0.250 0.250 0.250 Pd
```

Output
**Offset from the most stable computed form**: 0.469 kcal/mol of atoms
**E_tot**: -4.887 eV per atom
**Space group**: F-43m, No. 216

Entry 2:
This record from OQMD describes an optimized crystal structure of Pr2CuNiGe4. The functional is GGA-PBE.

```
Pr2CuNiGe4
1.0
-1.367 3.440 2.160
1.993 -3.981 7.603
5.574 -1.899 6.554
Cu Ge Ni Pr
1 4 1 2
direct
0.000 0.823 0.823 Cu
0.500 0.043 0.043 Ge
0.000 0.246 0.246 Ge
0.500 0.747 0.747 Ge
0.000 0.963 0.963 Ge
0.500 0.181 0.181 Ni
0.500 0.391 0.391 Pr
0.000 0.606 0.606 Pr
```

Output
**E_tot**: -5.336 eV per atom
**Space group**: Amm2, No. 38

Entry 3:
This record from OQMD describes an optimized crystal structure of Pr2CuNiGe2. The functional is GGA-PBE.

```
Pr2CuNiGe2
1.0
4.176 0.000 0.000
-2.088 3.616 0.000
0.000 0.000 8.368
Cu Ge Ni Pr
1 2 1 2
direct
0.000 0.000 0.000 Cu
0.333 0.667 0.000 Ge
0.000 0.000 0.500 Ge
0.333 0.667 0.500 Ni
0.667 0.333 0.257 Pr
0.667 0.333 0.743 Pr
```

Output
**E_tot**: -5.351 eV per atom
**Space group**: P-6m2, No. 187

Entry 4:
This record from OQMD describes an optimized crystal structure of ScCu4NiGe2. The functional is GGA-PBE.

```
ScCu4NiGe2
1.0
-0.693 3.564 2.254
-4.131 -0.117 -1.087
-1.192 -3.322 4.887
Cu Ge Ni Sc
4 2 1 1
direct
0.500 0.000 0.274 Cu
0.000 0.500 0.274 Cu
0.500 0.000 0.726 Cu
0.000 0.500 0.726 Cu
0.000 0.000 0.000 Ge
0.500 0.500 0.500 Ge
0.000 0.000 0.500 Ni
0.500 0.500 0.000 Sc
```

Output
**E_tot**: -4.624 eV per atom
**Space group**: P4/mmm, No. 123

no.,M_tot (μB/atom),volume (Å³/cell)
1,0.0001,53
2,0.0002,157
3,0.0005,126
4,0.0001,110